1.
First-principles (PBE) data for an optimized crystal structure of CaCe2Cd2In2, as listed in the Alexandria database.

a = 9.7442 Å, b = 9.7442 Å, c = 9.7442 Å
α = 28.82°, β = 28.82°, γ = 28.82°
Atoms (fractional coordinates):
Ca (0.0000, 0.0000, 0.0000)
Ce (0.1436, 0.1436, 0.1436)
Ce (0.8564, 0.8564, 0.8564)
Cd (0.4179, 0.4179, 0.4179)
Cd (0.5821, 0.5821, 0.5821)
In (0.2646, 0.2646, 0.2646)
In (0.7354, 0.7354, 0.7354)

## Properties
D(E_F)   11.73 states/eV/f.u.
Total energy   -22.7 eV/cell
Total moment   2.10 Bohr magnetons per cell
Space group   R-3m

2.
First-principles (PBE) data for an optimized crystal structure of ScSi2Pb, as listed in the Alexandria database.

a = 4.9325 Å, b = 4.9325 Å, c = 4.9325 Å
α = 60.00°, β = 60.00°, γ = 60.00°
Atoms (fractional coordinates):
Sc (0.0000, 0.0000, 0.0000)
Si (0.2500, 0.2500, 0.2500)
Si (0.5000, 0.5000, 0.5000)
Pb (0.7500, 0.7500, 0.7500)

## Properties
D(E_F)   4.00 states/eV/f.u.
Raw formation energy   0.3444 eV/atom
Total energy   -19.5 eV/cell
Total moment   0.00 Bohr magnetons per cell
Space group   F-43m

3.
First-principles (PBE) data for an optimized crystal structure of NaRePd, as listed in the Alexandria database.

a = 4.6212 Å, b = 4.6212 Å, c = 5.4830 Å
α = 90.00°, β = 90.00°, γ = 120.00°
Atoms (fractional coordinates):
Na (0.0000, 0.0000, 0.0000)
Na (0.0000, 0.0000, 0.5000)
Re (0.3333, 0.6667, 0.2500)
Re (0.6667, 0.3333, 0.7500)
Pd (0.3333, 0.6667, 0.7500)
Pd (0.6667, 0.3333, 0.2500)

## Properties
D(E_F)   3.95 states/eV/f.u.
Total energy   -31.9 eV/cell
Total moment   2.01 Bohr magnetons per cell
ΔE to the lowest computed polymorph   221.0 kJ/mol of formula units
Space group   P6_3/mmc

4.
First-principles (PBE) data for an optimized crystal structure of Al2HgRuF, as listed in the Alexandria database.

a = 4.2903 Å, b = 4.2903 Å, c = 4.3821 Å
α = 90.00°, β = 90.00°, γ = 90.00°
Atoms (fractional coordinates):
Al (0.0000, 0.5000, 0.0000)
Al (0.5000, 0.0000, 0.0000)
Hg (0.0000, 0.0000, 0.5000)
Ru (0.5000, 0.5000, 0.5000)
F (0.5000, 0.5000, 0.0000)

## Properties
D(E_F)   1.98 states/eV/f.u.
Raw formation energy   0.0769 eV/atom
Total energy   -18.5 eV/cell
Total moment   0.00 Bohr magnetons per cell
Space group   P4/mmm

5.
First-principles (PBE) data for an optimized crystal structure of NaPmGaGe, as listed in the Alexandria database.

a = 5.0824 Å, b = 5.0824 Å, c = 5.0824 Å
α = 60.00°, β = 60.00°, γ = 60.00°
Atoms (fractional coordinates):
Na (0.0000, 0.0000, 0.0000)
Pm (0.5000, 0.5000, 0.5000)
Ga (0.7500, 0.7500, 0.7500)
Ge (0.2500, 0.2500, 0.2500)

## Properties
D(E_F)   2.12 states/eV/f.u.
Total energy   -14.9 eV/cell
Total moment   0.00 Bohr magnetons per cell
Space group   F-43m

6.
First-principles (PBE) data for an optimized crystal structure of K2LiO, as listed in the Alexandria database.

a = 8.1021 Å, b = 8.1021 Å, c = 8.1021 Å
α = 93.00°, β = 93.00°, γ = 153.54°
Atoms (fractional coordinates):
K (0.3750, 0.1472, 0.2722)
K (0.8528, 0.1250, 0.2278)
K (0.8750, 0.1028, 0.7278)
K (0.8972, 0.6250, 0.7722)
Li (0.2500, 0.7500, 0.5000)
Li (0.5000, 0.5000, 0.0000)
O (0.0000, 0.0000, 0.0000)
O (0.7500, 0.2500, 0.5000)

## Properties
D(E_F)   1.12 states/eV/f.u.
Raw formation energy   -0.9289 eV/atom
Total energy   -25.6 eV/cell
Total moment   0.00 Bohr magnetons per cell
Space group   I-42d

total moment of number 6 (K2LiO)? 0.00 Bohr magnetons per cell